Here is La3PmTl3 after structural relaxation from Alexandria. Energies are from GGA-PBE.

a b c (Å): 9.752 9.752 9.752
angles (deg): 90.00 90.00 90.00
Positions (direct):
Tl  0.254  0.870  0.001
Tl  0.754  0.630  0.999
Tl  0.370  0.499  0.746
Tl  0.130  0.501  0.246
Tl  0.630  0.999  0.754
Tl  0.001  0.254  0.870
Tl  0.501  0.246  0.130
Tl  0.746  0.370  0.499
Tl  0.499  0.746  0.370
Tl  0.246  0.130  0.501
Tl  0.870  0.001  0.254
Tl  0.999  0.754  0.630
La  0.675  0.325  0.825
La  0.175  0.175  0.175
La  0.072  0.428  0.572
La  0.572  0.072  0.428
La  0.825  0.675  0.325
La  0.928  0.928  0.928
La  0.673  0.673  0.673
La  0.327  0.173  0.827
La  0.325  0.825  0.675
La  0.173  0.827  0.327
La  0.428  0.572  0.072
La  0.827  0.327  0.173
Pm  0.575  0.925  0.075
Pm  0.075  0.575  0.925
Pm  0.925  0.075  0.575
Pm  0.425  0.425  0.425

Output
**Calculated formation energy**: -30.6 kJ/mol of atoms
**Excess energy over the best structure of this formula in the dataset**: 0.0 meV per atom